Entry 1:
Density functional theory data (PBE) for crystalline Ca2Al3Zn6 at its relaxed geometry.

Calculated values
Total DFT energy (no corrections) = -2.197 eV/atom
V = 225 Å³/f.u.
DOS at the Fermi energy = 0.343 states/eV per atom
Space group = Cmmm
Crystal system = orthorhombic
Formation enthalpy at 0 K = -118 meV/atom

```
Ca2Al3Zn6
1.0
5.198 -5.326 0.000
5.198 5.326 0.000
0.000 0.000 4.072
Ca Al Zn
2 3 6
Direct
0.217 0.783 0.000 Ca
0.783 0.217 0.000 Ca
0.299 0.299 0.000 Al
0.500 0.500 0.500 Al
0.701 0.701 0.000 Al
0.115 0.115 0.500 Zn
0.153 0.456 0.500 Zn
0.456 0.153 0.500 Zn
0.544 0.847 0.500 Zn
0.847 0.544 0.500 Zn
0.885 0.885 0.500 Zn
```

=====

Entry 2:
Density functional theory data (PBE) for crystalline Zr2GaSeS at its relaxed geometry.

Calculated values
Total DFT energy (no corrections) = -5.157 eV/atom
V = 121 Å³/f.u.
DOS at the Fermi energy = 1.052 states/eV per atom
Space group = P4/mmm
Uncorrected formation energy = 0.39 eV/atom
Crystal system = tetragonal

```
Zr2GaSeS
1.0
5.133 0.000 0.000
0.000 5.133 0.000
0.000 0.000 4.598
Zr Ga Se S
2 1 1 1
Direct
0.000 0.500 0.000 Zr
0.500 0.000 0.000 Zr
0.000 0.000 0.000 Ga
0.000 0.000 0.500 Se
0.500 0.500 0.500 S
```

=====

> V of number 2 (Zr2GaSeS)?

121 Å³/f.u.

=====

> Which of these has the highest DOS at the Fermi energy?

Zr2GaSeS

=====

> The highest V belongs to which entry?

Ca2Al3Zn6